A relaxed structure of K2BaRh. Source: Alexandria via LeMat-Bulk, functional GGA-PBEsol.

Properties
Energy relative to the elements = 0.722 eV per atom
Calculated volume = 35.43 Å³ per atom
DFT total energy = -2.416 eV/atom

a b c (Å): 4.660 4.660 6.526
angles (deg): 90.00 90.00 90.00
Space group P4/mmm (No. 123)
Asymmetric unit:
K  0.000  0.000  0.211 (multiplicity 2)
Ba  0.500  0.500  0.500 (multiplicity 1)
Rh  0.500  0.500  0.000 (multiplicity 1)